Here is a geometry-optimized PmNi2PPt2 structure from Alexandria via LeMat-Bulk. Energies are from GGA-PBE.

Lattice parameters (Å, degrees): 4.2888 4.2888 5.5934 90.00 90.00 90.00
Closest atoms and distances in Å follow each position.
Atoms (fractional coordinates):
Pm 0.0000 0.0000 0.0000  2 P 2.80
Ni 0.0000 0.5000 0.5000  2 P 2.14
Ni 0.5000 0.0000 0.5000  2 P 2.14
P 0.0000 0.0000 0.5000  4 Ni 2.14
Pt 0.5000 0.5000 0.2335  1 Pt 2.61, 4 Ni 2.61
Pt 0.5000 0.5000 0.7665  1 Pt 2.61, 4 Ni 2.61

Output
The calculation puts the formation energy at -0.508 eV/atom. As for the symmetry: P4/mmm (123). The crystal system is tetragonal. The value obtained for the total magnetization is 0.0 μB per cell. The mass density comes out at 11.032 g cm⁻³.